Entry 1:
VASP calculation (PBE-GGA) on a geometry-optimized EuDyHoTl structure.

Summary:
DFT formation energy: -0.016 eV/atom
calculated density: 9.58 g/cm3

POSCAR file:
```
EuDyHoTl
1.0
-0.544 -5.356 -1.187
4.396 -3.322 0.173
0.451 -3.769 3.998
Eu Dy Ho Tl
1 1 1 1
Direct
0.000 0.000 0.000
0.750 0.750 0.750
0.250 0.250 0.250
0.500 0.500 0.500
```

Entry 2:
VASP calculation (PBE-GGA) on a geometry-optimized EuDyHoTm structure.

Summary:
DFT formation energy: 0.168 eV/atom
calculated density: 8.20 g/cm3

POSCAR file:
```
EuDyHoTm
1.0
-3.259 4.124 2.218
-4.447 2.018 -2.949
-5.319 -1.171 1.700
Tm Eu Ho Dy
1 1 1 1
Direct
0.750 0.750 0.750
0.500 0.500 0.500
0.000 0.000 0.000
0.250 0.250 0.250
```

Entry 3:
VASP calculation (PBE-GGA) on a geometry-optimized EuDyYHo structure.

Summary:
DFT formation energy: 0.163 eV/atom
calculated density: 7.04 g/cm3

POSCAR file:
```
EuDyYHo
1.0
-0.401 2.888 -4.948
2.808 -1.865 -4.650
-2.917 -2.246 -4.408
Y Ho Dy Eu
1 1 1 1
Direct
0.750 0.750 0.750
0.000 0.000 0.000
0.250 0.250 0.250
0.500 0.500 0.500
```

Entry 4:
VASP calculation (PBE-GGA) on a geometry-optimized Eu2DyI structure.

Summary:
formation energy from raw total energies: -1.8 eV per formula unit
calculated density: 6.71 g/cm3

POSCAR file:
```
Eu2DyI
1.0
3.815 0.000 0.000
0.000 3.815 0.000
0.000 0.000 10.090
I Dy Eu
1 1 2
Direct
0.500 0.500 0.000
0.500 0.500 0.500
0.000 0.000 0.234
0.000 0.000 0.766
```

Entry 5:
VASP calculation (PBE-GGA) on a geometry-optimized Eu3Dy5I12 structure.

Summary:
formation energy from raw total energies: -15.9 eV per formula unit
calculated density: 5.68 g/cm3

POSCAR file:
```
Eu3Dy5I12
1.0
16.190 0.000 0.000
-5.397 15.264 0.000
-5.397 -7.632 13.219
Eu Dy I
12 20 48
Direct
0.125 0.875 0.750
0.750 0.375 0.125
0.625 0.375 0.750
0.750 0.875 0.625
0.625 0.250 0.375
0.375 0.750 0.625
0.125 0.250 0.875
0.875 0.750 0.125
0.375 0.625 0.250
0.875 0.125 0.250
0.250 0.125 0.375
0.250 0.625 0.875
0.625 0.750 0.875
0.875 0.250 0.625
0.250 0.875 0.125
0.500 0.500 0.500
0.500 0.000 0.500
0.000 0.000 0.500
0.750 0.625 0.375
0.000 0.500 0.500
0.375 0.125 0.750
0.125 0.750 0.375
0.375 0.250 0.125
0.000 0.500 0.000
0.125 0.375 0.250
0.500 0.500 0.000
0.000 0.000 0.000
0.750 0.125 0.875
0.625 0.875 0.250
0.250 0.375 0.625
0.875 0.625 0.750
0.500 0.000 0.000
0.920 0.829 0.547
0.781 0.453 0.373
0.547 0.219 0.127
0.829 0.920 0.047
0.281 0.409 0.829
0.873 0.281 0.453
0.953 0.580 0.171
0.091 0.920 0.373
0.591 0.873 0.420
0.409 0.281 0.329
0.627 0.580 0.909
0.953 0.373 0.281
0.080 0.171 0.453
0.719 0.591 0.171
0.373 0.953 0.781
0.453 0.781 0.873
0.591 0.719 0.671
0.580 0.953 0.671
0.219 0.547 0.627
0.580 0.627 0.409
0.373 0.420 0.091
0.219 0.671 0.091
0.409 0.127 0.580
0.080 0.909 0.127
0.920 0.091 0.873
0.453 0.671 0.080
0.281 0.873 0.953
0.829 0.909 0.281
0.091 0.171 0.219
0.047 0.420 0.829
0.627 0.047 0.219
0.420 0.373 0.591
0.719 0.127 0.047
0.329 0.547 0.420
0.873 0.591 0.920
0.127 0.719 0.547
0.909 0.080 0.627
0.671 0.219 0.591
0.171 0.080 0.953
0.329 0.781 0.409
0.420 0.047 0.329
0.047 0.627 0.719
0.909 0.829 0.781
0.671 0.453 0.580
0.547 0.329 0.920
0.781 0.329 0.909
0.171 0.091 0.719
0.127 0.409 0.080
```

Entry 6:
VASP calculation (PBE-GGA) on a geometry-optimized EuDyIn structure.

Summary:
DFT formation energy: -0.214 eV/atom
calculated density: 7.83 g/cm3
distance to the lowest polymorph of the same formula: 40 meV/atom

POSCAR file:
```
EuDyIn
1.0
3.620 0.000 0.000
0.000 5.388 0.000
0.000 -2.694 4.666
Dy In Eu
1 1 1
Direct
0.399 0.667 0.333
0.621 0.333 0.667
0.980 0.000 0.000
```

Entry 7:
VASP calculation (PBE-GGA) on a geometry-optimized Eu2DyIn structure.

Summary:
DFT formation energy: -0.099 eV/atom
calculated density: 7.53 g/cm3
distance to the lowest polymorph of the same formula: 98 meV/atom

POSCAR file:
```
Eu2DyIn
1.0
-3.263 2.825 -3.660
-0.831 -2.044 -5.211
-5.064 -2.066 -1.455
Dy Eu In
1 2 1
Direct
0.000 0.000 0.000
0.750 0.750 0.750
0.250 0.250 0.250
0.500 0.500 0.500
```

Entry 8:
VASP calculation (PBE-GGA) on a geometry-optimized Eu2DyIn structure.

Summary:
DFT formation energy: -0.197 eV/atom
calculated density: 7.67 g/cm3
distance to the lowest polymorph of the same formula: 0 meV/atom

POSCAR file:
```
Eu2DyIn
1.0
5.206 0.000 0.000
0.000 4.915 0.000
0.000 0.000 4.915
In Eu Dy
1 2 1
Direct
0.500 0.500 0.500
0.000 0.000 0.500
0.000 0.500 0.000
0.500 0.000 0.000
```

Q: Among the records above, which one has the highest calculated density?
A: EuDyHoTl

Repeat the sixth record exactly.
VASP calculation (PBE-GGA) on a geometry-optimized EuDyIn structure.

Summary:
DFT formation energy: -0.214 eV/atom
calculated density: 7.83 g/cm3
distance to the lowest polymorph of the same formula: 40 meV/atom

POSCAR file:
```
EuDyIn
1.0
3.620 0.000 0.000
0.000 5.388 0.000
0.000 -2.694 4.666
Dy In Eu
1 1 1
Direct
0.399 0.667 0.333
0.621 0.333 0.667
0.980 0.000 0.000
```